Compound: Be2SbAu
Source: Alexandria via LeMat-Bulk
Functional: PBE
Structure: relaxed

Geometry as CIF:
```
data_Be2SbAu
_cell_length_a 7.7767
_cell_length_b 3.1711
_cell_length_c 5.4897
_cell_angle_alpha 90.00
_cell_angle_beta 104.44
_cell_angle_gamma 90.00
_space_group_name_H-M_alt 'C 1 2/m 1'
_space_group_IT_number 12
loop_
_space_group_symop_operation_xyz
'x,y,z'
'-x,-y,-z'
'-x,y,-z'
'x,-y,z'
'x+1/2,y+1/2,z'
'-x+1/2,-y+1/2,-z'
'-x+1/2,y+1/2,-z'
'x+1/2,-y+1/2,z'
loop_
_atom_site_label
_atom_site_type_symbol
_atom_site_fract_x
_atom_site_fract_y
_atom_site_fract_z
_atom_site_occupancy
Be1 Be 0.2382 0.0000 0.1616 1
Sb1 Sb 0.0000 0.0000 0.5000 1
Au1 Au 0.0000 0.5000 0.0000 1
```

## Properties
Formation energy without anion corrections ... 218 meV/atom
Magnetization ... 0.00 μB/f.u.
Volume ... 16.4 A^3/atom